one) The following is a DFT calculation (GGA-PBE) of a relaxed structure of LaYMgNi.

Results
**Mass density**: 5.71 g/cm3
**Symmetry**: F-43m, No. 216

Cell: 5.0377 5.0377 5.0377 Å, 60.00 60.00 60.00°
Element x y z (fractional)
La 0.0000 0.0000 0.0000
Y 0.2500 0.2500 0.2500
Mg 0.5000 0.5000 0.5000
Ni 0.7500 0.7500 0.7500



two) The following is a DFT calculation (GGA-PBE) of a relaxed structure of LaYMgNi.

Results
**Mass density**: 5.23 g/cm3
**Symmetry**: F-43m, No. 216

Cell: 5.1868 5.1868 5.1868 Å, 60.00 60.00 60.00°
Element x y z (fractional)
La 0.0000 0.0000 0.0000
Y 0.5000 0.5000 0.5000
Mg 0.7500 0.7500 0.7500
Ni 0.2500 0.2500 0.2500



Which structure is most stable, and how do the rest compare? From most to least stable: two), one).



one) The following is a DFT calculation (GGA-PBE) of a relaxed structure of La3MgOs.

Results
**Mass density**: 5.92 g/cm3
**Symmetry**: Pm-3m, No. 221

Cell: 5.6145 5.6145 5.6145 Å, 90.00 90.00 90.00°
Element x y z (fractional)
La 0.0000 0.0000 0.5000
La 0.0000 0.5000 0.0000
La 0.5000 0.0000 0.0000
Mg 0.5000 0.5000 0.5000
Os 0.0000 0.0000 0.0000



two) The following is a DFT calculation (GGA-PBE) of a relaxed structure of La3MgOs.

Results
**Mass density**: 6.99 g/cm3
**Symmetry**: P1, No. 1

Cell: 6.5343 6.9121 6.9964 Å, 95.95 104.43 98.09°
Element x y z (fractional)
La 0.0000 0.0000 0.0000
La 0.0115 0.5454 0.4191
La 0.1395 0.0713 0.5215
La 0.4889 0.7595 0.1926
La 0.5446 0.2405 0.0373
La 0.5794 0.6486 0.6732
Mg 0.0620 0.4773 0.9166
Mg 0.6580 0.1808 0.5512
Os 0.2740 0.8317 0.8140
Os 0.3212 0.3606 0.2971



Which structure is most stable, and how do the rest compare? From most to least stable: two), one).



one) The following is a DFT calculation (GGA-PBE) of a relaxed structure of LaMgSbOs.

Results
**Mass density**: 9.24 g/cm3
**Symmetry**: F-43m, No. 216

Cell: 4.9428 4.9428 4.9428 Å, 60.00 60.00 60.00°
Element x y z (fractional)
La 0.0000 0.0000 0.0000
Mg 0.7500 0.7500 0.7500
Sb 0.2500 0.2500 0.2500
Os 0.5000 0.5000 0.5000



two) The following is a DFT calculation (GGA-PBE) of a relaxed structure of LaMgSbOs.

Results
**Mass density**: 9.34 g/cm3
**Symmetry**: F-43m, No. 216

Cell: 4.9248 4.9248 4.9248 Å, 60.00 60.00 60.00°
Element x y z (fractional)
La 0.0000 0.0000 0.0000
Mg 0.2500 0.2500 0.2500
Sb 0.5000 0.5000 0.5000
Os 0.7500 0.7500 0.7500



three) The following is a DFT calculation (GGA-PBE) of a relaxed structure of LaMgSbOs.

Results
**Mass density**: 8.74 g/cm3
**Symmetry**: F-43m, No. 216

Cell: 5.0363 5.0363 5.0363 Å, 60.00 60.00 60.00°
Element x y z (fractional)
La 0.0000 0.0000 0.0000
Mg 0.5000 0.5000 0.5000
Sb 0.7500 0.7500 0.7500
Os 0.2500 0.2500 0.2500



Which structure is most stable, and how do the rest compare? From most to least stable: two), one), three).



one) The following is a DFT calculation (GGA-PBE) of a relaxed structure of LaMgTaOs.

Results
**Mass density**: 11.37 g/cm3
**Symmetry**: F-43m, No. 216

Cell: 4.7975 4.7975 4.7975 Å, 60.00 60.00 60.00°
Element x y z (fractional)
La 0.0000 0.0000 0.0000
Mg 0.7500 0.7500 0.7500
Ta 0.2500 0.2500 0.2500
Os 0.5000 0.5000 0.5000



two) The following is a DFT calculation (GGA-PBE) of a relaxed structure of LaMgTaOs.

Results
**Mass density**: 10.76 g/cm3
**Symmetry**: F-43m, No. 216

Cell: 4.8858 4.8858 4.8858 Å, 60.00 60.00 60.00°
Element x y z (fractional)
La 0.0000 0.0000 0.0000
Mg 0.2500 0.2500 0.2500
Ta 0.5000 0.5000 0.5000
Os 0.7500 0.7500 0.7500



Which structure is most stable, and how do the rest compare? From most to least stable: one), two).



one) The following is a DFT calculation (GGA-PBE) of a relaxed structure of LaMgTlPd.

Results
**Mass density**: 8.19 g/cm3
**Symmetry**: F-43m, No. 216

Cell: 5.1412 5.1412 5.1412 Å, 60.00 60.00 60.00°
Element x y z (fractional)
La 0.0000 0.0000 0.0000
Mg 0.5000 0.5000 0.5000
Tl 0.7500 0.7500 0.7500
Pd 0.2500 0.2500 0.2500



two) The following is a DFT calculation (GGA-PBE) of a relaxed structure of LaMgTlPd.

Results
**Mass density**: 8.59 g/cm3
**Symmetry**: F-43m, No. 216

Cell: 5.0599 5.0599 5.0599 Å, 60.00 60.00 60.00°
Element x y z (fractional)
La 0.0000 0.0000 0.0000
Mg 0.2500 0.2500 0.2500
Tl 0.5000 0.5000 0.5000
Pd 0.7500 0.7500 0.7500



Which structure is most stable, and how do the rest compare? From most to least stable: one), two).



one) The following is a DFT calculation (GGA-PBE) of a relaxed structure of LaPrMg6.

Results
**Mass density**: 3.27 g/cm3
**Symmetry**: Amm2, No. 38

Cell: 5.2528 6.8923 6.8923 Å, 60.08 90.00 90.00°
Element x y z (fractional)
La 0.0000 0.0000 0.0000
Pr 0.5000 0.6678 0.6678
Mg 0.0000 0.0118 0.4943
Mg 0.0000 0.4943 0.0118
Mg 0.0000 0.4957 0.4957
Mg 0.5000 0.1734 0.1734
Mg 0.5000 0.1747 0.6534
Mg 0.5000 0.6534 0.1747



two) The following is a DFT calculation (GGA-PBE) of a relaxed structure of LaPrMg6.

Results
**Mass density**: 3.39 g/cm3
**Symmetry**: Pmm2, No. 25

Cell: 5.2907 7.4578 5.2914 Å, 90.00 90.00 90.00°
Element x y z (fractional)
La 0.0000 0.0000 0.0000
Pr 0.5000 0.5000 0.5087
Mg 0.0000 0.2508 0.4994
Mg 0.0000 0.5000 0.0006
Mg 0.0000 0.7492 0.4994
Mg 0.5000 0.0000 0.5079
Mg 0.5000 0.2508 0.0093
Mg 0.5000 0.7492 0.0093



Which structure is most stable, and how do the rest compare? From most to least stable: two), one).



one) The following is a DFT calculation (GGA-PBE) of a relaxed structure of LaMgTlPt.

Results
**Mass density**: 9.83 g/cm3
**Symmetry**: F-43m, No. 216

Cell: 5.1223 5.1223 5.1223 Å, 60.00 60.00 60.00°
Element x y z (fractional)
La 0.0000 0.0000 0.0000
Mg 0.5000 0.5000 0.5000
Tl 0.2500 0.2500 0.2500
Pt 0.7500 0.7500 0.7500



two) The following is a DFT calculation (GGA-PBE) of a relaxed structure of LaMgTlPt.

Results
**Mass density**: 10.32 g/cm3
**Symmetry**: F-43m, No. 216

Cell: 5.0409 5.0409 5.0409 Å, 60.00 60.00 60.00°
Element x y z (fractional)
La 0.0000 0.0000 0.0000
Mg 0.7500 0.7500 0.7500
Tl 0.5000 0.5000 0.5000
Pt 0.2500 0.2500 0.2500



three) The following is a DFT calculation (GGA-PBE) of a relaxed structure of LaMgTlPt.

Results
**Mass density**: 10.33 g/cm3
**Symmetry**: F-43m, No. 216

Cell: 5.0385 5.0385 5.0385 Å, 60.00 60.00 60.00°
Element x y z (fractional)
La 0.0000 0.0000 0.0000
Mg 0.2500 0.2500 0.2500
Tl 0.7500 0.7500 0.7500
Pt 0.5000 0.5000 0.5000



Which structure is most stable, and how do the rest compare? From most to least stable: one), two), three).



one) The following is a DFT calculation (GGA-PBE) of a relaxed structure of LaMgReW.

Results
**Mass density**: 11.44 g/cm3
**Symmetry**: F-43m, No. 216

Cell: 4.7840 4.7840 4.7840 Å, 60.00 60.00 60.00°
Element x y z (fractional)
La 0.0000 0.0000 0.0000
Mg 0.2500 0.2500 0.2500
Re 0.5000 0.5000 0.5000
W 0.7500 0.7500 0.7500



two) The following is a DFT calculation (GGA-PBE) of a relaxed structure of LaMgReW.

Results
**Mass density**: 11.18 g/cm3
**Symmetry**: F-43m, No. 216

Cell: 4.8201 4.8201 4.8201 Å, 60.00 60.00 60.00°
Element x y z (fractional)
La 0.0000 0.0000 0.0000
Mg 0.7500 0.7500 0.7500
Re 0.2500 0.2500 0.2500
W 0.5000 0.5000 0.5000



Which structure is most stable, and how do the rest compare? From most to least stable: one), two).



one) The following is a DFT calculation (GGA-PBE) of a relaxed structure of LaMgTcW.

Results
**Mass density**: 9.75 g/cm3
**Symmetry**: F-43m, No. 216

Cell: 4.7511 4.7511 4.7511 Å, 60.00 60.00 60.00°
Element x y z (fractional)
La 0.0000 0.0000 0.0000
Mg 0.5000 0.5000 0.5000
Tc 0.7500 0.7500 0.7500
W 0.2500 0.2500 0.2500



two) The following is a DFT calculation (GGA-PBE) of a relaxed structure of LaMgTcW.

Results
**Mass density**: 9.30 g/cm3
**Symmetry**: F-43m, No. 216

Cell: 4.8262 4.8262 4.8262 Å, 60.00 60.00 60.00°
Element x y z (fractional)
La 0.0000 0.0000 0.0000
Mg 0.7500 0.7500 0.7500
Tc 0.2500 0.2500 0.2500
W 0.5000 0.5000 0.5000



three) The following is a DFT calculation (GGA-PBE) of a relaxed structure of LaMgTcW.

Results
**Mass density**: 9.52 g/cm3
**Symmetry**: F-43m, No. 216

Cell: 4.7883 4.7883 4.7883 Å, 60.00 60.00 60.00°
Element x y z (fractional)
La 0.0000 0.0000 0.0000
Mg 0.2500 0.2500 0.2500
Tc 0.5000 0.5000 0.5000
W 0.7500 0.7500 0.7500



Which structure is most stable, and how do the rest compare? From most to least stable: three), two), one).



one) The following is a DFT calculation (GGA-PBE) of a relaxed structure of NaLaMoOs.

Results
**Mass density**: 9.68 g/cm3
**Symmetry**: F-43m, No. 216

Cell: 4.7725 4.7725 4.7725 Å, 60.00 60.00 60.00°
Element x y z (fractional)
Na 0.0000 0.0000 0.0000
La 0.7500 0.7500 0.7500
Mo 0.5000 0.5000 0.5000
Os 0.2500 0.2500 0.2500



two) The following is a DFT calculation (GGA-PBE) of a relaxed structure of NaLaMoOs.

Results
**Mass density**: 9.34 g/cm3
**Symmetry**: F-43m, No. 216

Cell: 4.8298 4.8298 4.8298 Å, 60.00 60.00 60.00°
Element x y z (fractional)
Na 0.0000 0.0000 0.0000
La 0.2500 0.2500 0.2500
Mo 0.7500 0.7500 0.7500
Os 0.5000 0.5000 0.5000



three) The following is a DFT calculation (GGA-PBE) of a relaxed structure of NaLaMoOs.

Results
**Mass density**: 9.16 g/cm3
**Symmetry**: F-43m, No. 216

Cell: 4.8611 4.8611 4.8611 Å, 60.00 60.00 60.00°
Element x y z (fractional)
Na 0.0000 0.0000 0.0000
La 0.5000 0.5000 0.5000
Mo 0.7500 0.7500 0.7500
Os 0.2500 0.2500 0.2500



Which structure is most stable, and how do the rest compare? From most to least stable: one), two), three).



one) The following is a DFT calculation (GGA-PBE) of a relaxed structure of LaSnMo.

Results
**Mass density**: 7.56 g/cm3
**Symmetry**: F-43m, No. 216

Cell: 4.7880 4.7880 4.7880 Å, 60.00 60.00 60.00°
Element x y z (fractional)
La 0.0000 0.0000 0.0000
Sn 0.5000 0.5000 0.5000
Mo 0.2500 0.2500 0.2500



two) The following is a DFT calculation (GGA-PBE) of a relaxed structure of LaSnMo.

Results
**Mass density**: 6.14 g/cm3
**Symmetry**: F-43m, No. 216

Cell: 5.1325 5.1325 5.1325 Å, 60.00 60.00 60.00°
Element x y z (fractional)
La 0.0000 0.0000 0.0000
Sn 0.2500 0.2500 0.2500
Mo 0.7500 0.7500 0.7500



Which structure is most stable, and how do the rest compare? From most to least stable: one), two).